An optimized crystal structure of ScOs2Rh, computed with GGA-PBE.

```
ScOs2Rh
1.0
-2.6342 3.5747 -0.2212
-3.9839 -0.0490 1.9729
-0.7128 2.4642 3.6313
Os Sc Rh
2 1 1
direct
0.2500 0.2500 0.2500 Os
0.7500 0.7500 0.7500 Os
0.5000 0.5000 0.5000 Sc
0.0000 0.0000 0.0000 Rh
```

Values from the calculation:
- theoretical density (g cm⁻³) = 14.12
- calculated formation energy (eV per atom) = 0.224
- magnetization (μB per cell) = 0.0